# 1
The following is a PBE calculation of an optimized crystal structure of PmYNi2, from Alexandria.

Results
Formation energy ... -0.31 eV/atom
DOS(E_F) ... 19.66 states/eV/cell
Offset from the most stable computed form ... 84 meV per atom

Geometry as CIF:
```
data_PmYNi2
_space_group_name_H-M_alt 'F m -3 m'
_space_group_IT_number 225
_space_group_name_Hall '-F 4 2 3'
_cell_length_a 6.864
_cell_length_b 6.864
_cell_length_c 6.864
_cell_angle_alpha 90.00
_cell_angle_beta 90.00
_cell_angle_gamma 90.00
loop_
_atom_site_label
_atom_site_fract_x
_atom_site_fract_y
_atom_site_fract_z
Pm1 0.000 0.000 0.000
Y1 0.000 0.000 0.500
Ni1 0.250 0.250 0.250
```

=====

# 2
The following is a PBE calculation of an optimized crystal structure of NdHoTmAl, from Alexandria.

Results
Formation energy ... -0.07 eV/atom
DOS(E_F) ... 26.13 states/eV/cell
Offset from the most stable computed form ... 133 meV per atom

Geometry as CIF:
```
data_NdHoTmAl
_space_group_name_H-M_alt 'F -4 3 m'
_space_group_IT_number 216
_space_group_name_Hall 'F -4 2 3'
_cell_length_a 7.599
_cell_length_b 7.599
_cell_length_c 7.599
_cell_angle_alpha 90.00
_cell_angle_beta 90.00
_cell_angle_gamma 90.00
loop_
_atom_site_label
_atom_site_fract_x
_atom_site_fract_y
_atom_site_fract_z
Nd1 0.000 0.000 0.000
Ho1 0.000 0.000 0.500
Tm1 0.250 0.250 0.750
Al1 0.250 0.250 0.250
```

=====

# 3
The following is a PBE calculation of an optimized crystal structure of Ta2GaPt, from Alexandria.

Results
Formation energy ... 0.15 eV/atom
DOS(E_F) ... 10.95 states/eV/cell

Geometry as CIF:
```
data_Ta2GaPt
_space_group_name_H-M_alt 'I -4 2 d'
_space_group_IT_number 122
_space_group_name_Hall 'I -4 2bw'
_cell_length_a 3.871
_cell_length_b 3.871
_cell_length_c 19.397
_cell_angle_alpha 90.00
_cell_angle_beta 90.00
_cell_angle_gamma 90.00
loop_
_atom_site_label
_atom_site_fract_x
_atom_site_fract_y
_atom_site_fract_z
Ta1 0.242 0.250 0.125
Ga1 0.000 0.000 0.000
Pt1 0.000 0.000 0.500
```

=====

# 4
The following is a PBE calculation of an optimized crystal structure of Si2SbW, from Alexandria.

Results
DOS(E_F) ... 4.55 states/eV/cell

Geometry as CIF:
```
data_Si2SbW
_space_group_name_H-M_alt 'C m m m'
_space_group_IT_number 65
_space_group_name_Hall '-C 2 2'
_cell_length_a 5.634
_cell_length_b 7.311
_cell_length_c 3.251
_cell_angle_alpha 90.00
_cell_angle_beta 90.00
_cell_angle_gamma 90.00
loop_
_atom_site_label
_atom_site_fract_x
_atom_site_fract_y
_atom_site_fract_z
Si1 0.250 0.250 0.000
Sb1 0.000 0.000 0.500
W1 0.000 0.500 0.500
```

=====

# 5
The following is a PBE calculation of an optimized crystal structure of Tm4BeCu3, from Alexandria.

Results
Formation energy ... -0.20 eV/atom
DOS(E_F) ... 5.04 states/eV/cell

Geometry as CIF:
```
data_Tm4BeCu3
_space_group_name_H-M_alt 'P 4/m m m'
_space_group_IT_number 123
_space_group_name_Hall '-P 4 2'
_cell_length_a 3.390
_cell_length_b 3.390
_cell_length_c 13.684
_cell_angle_alpha 90.00
_cell_angle_beta 90.00
_cell_angle_gamma 90.00
loop_
_atom_site_label
_atom_site_fract_x
_atom_site_fract_y
_atom_site_fract_z
Tm1 0.000 0.000 0.121
Tm2 0.000 0.000 0.373
Be1 0.500 0.500 0.000
Cu1 0.500 0.500 0.245
Cu2 0.500 0.500 0.500
```

=====

# 6
The following is a PBE calculation of an optimized crystal structure of La2HfP3Rh12, from Alexandria.

Results
Formation energy ... -0.36 eV/atom
DOS(E_F) ... 52.15 states/eV/cell

Geometry as CIF:
```
data_La2HfP3Rh12
_space_group_name_H-M_alt 'R -3 m'
_space_group_IT_number 166
_space_group_name_Hall '-R 3 2"'
_cell_length_a 8.7897
_cell_length_b 8.7897
_cell_length_c 13.5795
_cell_angle_alpha 90.00
_cell_angle_beta 90.00
_cell_angle_gamma 120.00
loop_
_atom_site_label
_atom_site_fract_x
_atom_site_fract_y
_atom_site_fract_z
La1 0.0000 0.0000 0.1144
Hf1 0.0000 0.0000 0.5000
P1 0.0000 0.5000 0.0000
Rh1 0.0134 0.5067 0.8332
Rh2 0.0520 0.5260 0.3677
```

=====

# 7
The following is a PBE calculation of an optimized crystal structure of RbTiTlSe3, from Alexandria.

Geometry as CIF:
```
data_RbTiTlSe3
_space_group_name_H-M_alt 'C 1 2/c 1'
_space_group_IT_number 15
_space_group_name_Hall '-C 2yc'
_cell_length_a 7.686
_cell_length_b 15.290
_cell_length_c 6.905
_cell_angle_alpha 90.00
_cell_angle_beta 102.92
_cell_angle_gamma 90.00
loop_
_atom_site_label
_atom_site_fract_x
_atom_site_fract_y
_atom_site_fract_z
Rb1 0.000 0.243 0.250
Ti1 0.000 0.046 0.750
Tl1 0.000 0.412 0.750
Se1 0.000 0.202 0.750
Se2 0.214 0.039 0.502
```

=====

# 8
The following is a PBE calculation of an optimized crystal structure of LiAc2Eu, from Alexandria.

Results
Formation energy ... 0.11 eV/atom
DOS(E_F) ... 4.52 states/eV/cell
Offset from the most stable computed form ... 41 meV per atom

Geometry as CIF:
```
data_LiAc2Eu
_space_group_name_H-M_alt 'P 4/m m m'
_space_group_IT_number 123
_space_group_name_Hall '-P 4 2'
_cell_length_a 6.067
_cell_length_b 6.067
_cell_length_c 4.220
_cell_angle_alpha 90.00
_cell_angle_beta 90.00
_cell_angle_gamma 90.00
loop_
_atom_site_label
_atom_site_fract_x
_atom_site_fract_y
_atom_site_fract_z
Li1 0.000 0.000 0.000
Ac1 0.000 0.500 0.500
Eu1 0.500 0.500 0.000
```

=====

| no. | mass density (kg/m3) | calculated total energy (eV/atom) |
| --- | --- | --- |
| 1 | 7217 | -6.00 |
| 2 | 7646 | -4.46 |
| 3 | 14321 | -8.05 |
| 4 | 8972 | -6.35 |
| 5 | 9242 | -4.44 |
| 6 | 9782 | -7.27 |
| 7 | 4826 | -4.60 |
| 8 | 6552 | -4.99 |